No. 1
VASP calculation (GGA-PBEsol) on an optimized crystal structure of Na2BSbSO7.

## Properties
space group	P2_1/m
total moment	0.06	μB per formula unit
total DFT energy (no corrections)	-6.3911	eV per atom
ΔE_f (raw)	-1.766	eV per atom

Cell: 5.431 6.818 9.613 Å, 90.00 91.41 90.00°
Sites, in units of the cell vectors:
O: 0.878 0.924 0.336
O: 0.484 0.750 0.331
O: 0.432 0.750 0.801
O: 0.568 0.250 0.199
O: 0.007 0.750 0.809
O: 0.758 0.250 0.970
O: 0.122 0.076 0.664
O: 0.242 0.750 0.030
O: 0.516 0.250 0.669
O: 0.878 0.576 0.336
O: 0.122 0.424 0.664
O: 0.993 0.250 0.191
O: 0.739 0.750 0.543
O: 0.261 0.250 0.457
B: 0.772 0.250 0.105
B: 0.228 0.750 0.895
S: 0.736 0.750 0.388
S: 0.264 0.250 0.612
Na: 0.729 0.492 0.815
Na: 0.729 0.008 0.815
Na: 0.271 0.992 0.185
Na: 0.271 0.508 0.185
Sb: 0.198 0.750 0.632
Sb: 0.802 0.250 0.368

No. 2
VASP calculation (GGA-PBEsol) on an optimized crystal structure of MgTa3H.

## Properties
space group	Pm-3m
total moment	0.00	μB per formula unit
total DFT energy (no corrections)	-8.3695	eV per atom

Cell: 4.186 4.186 4.186 Å, 90.00 90.00 90.00°
Sites, in units of the cell vectors:
Mg: 0.500 0.500 0.500
H: 0.000 0.000 0.000
Ta: 0.000 0.500 0.000
Ta: 0.000 0.000 0.500
Ta: 0.500 0.000 0.000

No. 3
VASP calculation (GGA-PBEsol) on an optimized crystal structure of K2ScBeSe.

## Properties
space group	P4/mmm
total moment	2.12	μB per formula unit
total DFT energy (no corrections)	-2.8965	eV per atom
ΔE_f (raw)	0.448	eV per atom

Cell: 4.133 6.514 6.514 Å, 90.00 90.00 90.00°
Sites, in units of the cell vectors:
K: 0.000 0.500 0.000
K: 0.000 0.000 0.500
Sc: 0.500 0.500 0.500
Se: 0.000 0.000 0.000
Be: 0.500 0.000 0.000

No. 4
VASP calculation (GGA-PBEsol) on an optimized crystal structure of FeNiOs2.

## Properties
space group	Cmm2
E_form	0.462	eV per atom
total moment	3.31	μB per formula unit
total DFT energy (no corrections)	-9.4267	eV per atom

Cell: 2.601 2.601 8.549 Å, 90.00 90.00 116.46°
Sites, in units of the cell vectors:
Os: 0.500 0.500 0.740
Os: 0.000 0.000 0.009
Fe: 0.000 0.000 0.490
Ni: 0.500 0.500 0.261

No. 5
VASP calculation (GGA-PBEsol) on an optimized crystal structure of ZnCr2In.

## Properties
space group	R-3m
E_form	0.626	eV per atom
total moment	4.75	μB per formula unit
total DFT energy (no corrections)	-5.6359	eV per atom

Cell: 2.881 2.881 8.712 Å, 80.48 80.48 60.00°
Sites, in units of the cell vectors:
Zn: 0.000 0.000 0.000
Cr: 0.255 0.255 0.234
Cr: 0.745 0.745 0.766
In: 0.500 0.500 0.500

No. 6
VASP calculation (GGA-PBEsol) on an optimized crystal structure of TlSiI3.

## Properties
space group	Pm-3m
total moment	0.00	μB per formula unit
total DFT energy (no corrections)	-2.9712	eV per atom
ΔE_f (raw)	-0.236	eV per atom

Cell: 5.599 5.599 5.599 Å, 90.00 90.00 90.00°
Sites, in units of the cell vectors:
I: 0.000 0.500 0.000
I: 0.000 0.000 0.500
I: 0.500 0.000 0.000
Si: 0.000 0.000 0.000
Tl: 0.500 0.500 0.500

No. 7
VASP calculation (GGA-PBEsol) on an optimized crystal structure of PbAuO2.

## Properties
space group	P-1
total moment	0.00	μB per formula unit
total DFT energy (no corrections)	-5.2002	eV per atom
ΔE_f (raw)	-0.595	eV per atom

Cell: 4.702 5.552 5.975 Å, 112.20 103.71 93.66°
Sites, in units of the cell vectors:
O: 0.388 0.703 0.162
O: 0.612 0.297 0.838
O: 0.338 0.802 0.676
O: 0.662 0.198 0.324
Au: 0.000 0.500 0.500
Au: 0.500 0.000 0.500
Pb: 0.261 0.257 0.036
Pb: 0.739 0.743 0.964

No. 8
VASP calculation (GGA-PBEsol) on an optimized crystal structure of H3OsBr.

## Properties
space group	Pm-3m
total moment	0.00	μB per formula unit
total DFT energy (no corrections)	-3.9314	eV per atom

Cell: 3.604 3.604 3.604 Å, 90.00 90.00 90.00°
Sites, in units of the cell vectors:
H: 0.000 0.000 0.500
H: 0.000 0.500 0.000
H: 0.500 0.000 0.000
Os: 0.000 0.000 0.000
Br: 0.500 0.500 0.500

No. 9
VASP calculation (GGA-PBEsol) on an optimized crystal structure of Ti4O5.

## Properties
space group	I4/m
total moment	0.00	μB per formula unit
total DFT energy (no corrections)	-9.4134	eV per atom
ΔE_f (raw)	-2.798	eV per atom

Cell: 4.134 5.075 5.075 Å, 80.45 65.97 65.97°
Sites, in units of the cell vectors:
Ti: 0.393 0.391 0.822
Ti: 0.785 0.822 0.609
Ti: 0.215 0.178 0.391
Ti: 0.607 0.609 0.178
O: 0.092 0.600 0.216
O: 0.500 0.000 0.000
O: 0.692 0.216 0.400
O: 0.308 0.784 0.600
O: 0.908 0.400 0.784

No. 10
VASP calculation (GGA-PBEsol) on an optimized crystal structure of LaPt4Au.

## Properties
space group	F-43m
E_form	-0.693	eV per atom
total moment	0.00	μB per formula unit
total DFT energy (no corrections)	-6.8804	eV per atom

Cell: 5.345 5.345 5.345 Å, 60.00 60.00 60.00°
Sites, in units of the cell vectors:
Pt: 0.376 0.376 0.873
Pt: 0.376 0.376 0.376
Pt: 0.873 0.376 0.376
Pt: 0.376 0.873 0.376
La: 0.000 0.000 0.000
Au: 0.750 0.750 0.750

No. 11
VASP calculation (GGA-PBEsol) on an optimized crystal structure of Ag2SbPb.

## Properties
space group	F-43m
total moment	0.00	μB per formula unit
total DFT energy (no corrections)	-3.5719	eV per atom
ΔE_f (raw)	0.223	eV per atom

Cell: 5.047 5.047 5.047 Å, 60.00 60.00 60.00°
Sites, in units of the cell vectors:
Ag: 0.750 0.750 0.750
Ag: 0.000 0.000 0.000
Pb: 0.500 0.500 0.500
Sb: 0.250 0.250 0.250

No. 12
VASP calculation (GGA-PBEsol) on an optimized crystal structure of NdCdGa.

## Properties
space group	P-62m
E_form	-0.560	eV per atom
total moment	0.00	μB per formula unit
total DFT energy (no corrections)	-3.7940	eV per atom

Cell: 4.423 7.304 7.304 Å, 120.00 90.00 90.00°
Sites, in units of the cell vectors:
Nd: 0.500 0.421 0.421
Nd: 0.500 0.579 0.000
Nd: 0.500 0.000 0.579
Ga: 0.500 0.000 0.000
Ga: 0.000 0.333 0.667
Ga: 0.000 0.667 0.333
Cd: 0.000 0.000 0.247
Cd: 0.000 0.753 0.753
Cd: 0.000 0.247 0.000